Record 1
First-principles (GGA-PBE) data for crystalline HoLuAlCr at its relaxed geometry, as listed in Alexandria via LeMat-Bulk.

Unit cell a=5.0286 b=5.0286 c=5.0286 alpha=60.00 beta=60.00 gamma=60.00
Each line ends with the local moment (μB).
Atoms (fractional coordinates):
Cr 0.7500 0.7500 0.7500  3.46
Lu 0.5000 0.5000 0.5000  0.00
Al 0.2500 0.2500 0.2500  -0.03
Ho 0.0000 0.0000 0.0000  0.02

## Properties
The crystal system is cubic. The value obtained for the formation enthalpy at 0 K is -36 meV per atom.

Record 2
First-principles (GGA-PBE) data for crystalline ScAu3N at its relaxed geometry, as listed in Alexandria via LeMat-Bulk.

Unit cell a=5.2971 b=5.2971 c=5.2971 alpha=90.00 beta=90.00 gamma=90.00
Each line ends with the local moment (μB).
Atoms (fractional coordinates):
Au 0.0000 0.0000 0.5000  0.03
Au 0.0000 0.5000 0.0000  0.05
Au 0.5000 0.0000 0.0000  0.04
N 0.5000 0.5000 0.5000  1.87
Sc 0.0000 0.0000 0.0000  0.02

## Properties
The energy above the most stable polymorph in this dataset comes out at 4.89 eV/f.u. The raw formation energy is 1.408 eV per atom. The crystal system is cubic.

Record 3
First-principles (GGA-PBE) data for crystalline CsNaTl2Sb at its relaxed geometry, as listed in Alexandria via LeMat-Bulk.

Unit cell a=5.6696 b=4.9971 c=7.6152 alpha=109.15 beta=111.85 gamma=90.00
Atoms (fractional coordinates):
Tl 0.0538 0.0538 0.1075
Na 0.2105 0.7105 0.4211
Sb 0.8266 0.8266 0.6533
Tl 0.6814 0.1814 0.3627
Cs 0.4399 0.4399 0.8797

## Properties
The raw formation energy is -0.222 eV per atom. The crystal system is orthorhombic.

Record 4
First-principles (GGA-PBE) data for crystalline Mg3Ge3Ir2 at its relaxed geometry, as listed in Alexandria via LeMat-Bulk.

Unit cell a=5.2597 b=7.2593 c=15.3145 alpha=90.00 beta=90.00 gamma=90.00
Atoms (fractional coordinates):
Mg 0.0954 0.4777 0.1224
Ge 0.3977 0.6784 0.9648
Ge 0.1023 0.1784 0.9648
Ge 0.1023 0.1784 0.5352
Mg 0.8654 0.8258 0.2500
Ge 0.8977 0.8216 0.4648
Ge 0.1399 0.1717 0.2500
Mg 0.6346 0.3258 0.2500
Ir 0.0964 0.8804 0.6112
Mg 0.4046 0.9777 0.3776
Ir 0.5964 0.6196 0.1112
Ge 0.3977 0.6784 0.5352
Ge 0.3601 0.6717 0.2500
Ge 0.8977 0.8216 0.0352
Ge 0.8601 0.8283 0.7500
Ir 0.0964 0.8804 0.8888
Ir 0.4036 0.3804 0.6112
Ir 0.9036 0.1196 0.3888
Mg 0.9046 0.5223 0.6224
Ge 0.6023 0.3216 0.0352
Mg 0.9046 0.5223 0.8776
Ir 0.9036 0.1196 0.1112
Mg 0.3654 0.6742 0.7500
Mg 0.4046 0.9777 0.1224
Mg 0.5954 0.0223 0.8776
Mg 0.5954 0.0223 0.6224
Ir 0.4036 0.3804 0.8888
Ir 0.5964 0.6196 0.3888
Mg 0.1346 0.1742 0.7500
Ge 0.6399 0.3283 0.7500
Ge 0.6023 0.3216 0.4648
Mg 0.0954 0.4777 0.3776

## Properties
The crystal system is orthorhombic. The value obtained for the formation enthalpy at 0 K is -382 meV per atom.

Record 5
First-principles (GGA-PBE) data for crystalline Sr3SnI at its relaxed geometry, as listed in Alexandria via LeMat-Bulk.

Unit cell a=6.3946 b=6.3946 c=6.3946 alpha=90.00 beta=90.00 gamma=90.00
Atoms (fractional coordinates):
Sr 0.5000 0.0000 0.0000
I 0.5000 0.5000 0.5000
Sn 0.0000 0.0000 0.0000
Sr 0.0000 0.0000 0.5000
Sr 0.0000 0.5000 0.0000

## Properties
The energy above the most stable polymorph in this dataset comes out at 0.56 eV/f.u. The raw formation energy is -0.537 eV per atom. The crystal system is cubic.

Record 6
First-principles (GGA-PBE) data for crystalline YCrP at its relaxed geometry, as listed in Alexandria via LeMat-Bulk.

Unit cell a=3.7711 b=3.7711 c=7.2446 alpha=90.00 beta=90.00 gamma=90.00
Each line ends with the local moment (μB).
Atoms (fractional coordinates):
P 0.5000 0.0000 0.7025  -0.02
Y 0.5000 0.0000 0.1566  -0.14
Y 0.0000 0.5000 0.8434  -0.14
Cr 0.5000 0.5000 0.5000  0.76
Cr 0.0000 0.0000 0.5000  0.76
P 0.0000 0.5000 0.2975  -0.02

## Properties
The crystal system is tetragonal. The value obtained for the formation enthalpy at 0 K is -812 meV per atom.

Record 7
First-principles (GGA-PBE) data for crystalline ZrCrAg2Pb at its relaxed geometry, as listed in Alexandria via LeMat-Bulk.

Unit cell a=4.8862 b=5.0522 c=4.8862 alpha=90.00 beta=90.00 gamma=90.00
Each line ends with the local moment (μB).
Atoms (fractional coordinates):
Pb 0.0000 0.5000 0.0000  -0.02
Ag 0.0000 0.0000 0.5000  0.11
Zr 0.5000 0.5000 0.5000  -0.36
Ag 0.5000 0.0000 0.0000  0.10
Cr 0.0000 0.0000 0.0000  3.24

## Properties
The crystal system is tetragonal. The value obtained for the formation enthalpy at 0 K is 898 meV per atom.

Record 8
First-principles (GGA-PBE) data for crystalline Dy4Bi2H at its relaxed geometry, as listed in Alexandria via LeMat-Bulk.

Unit cell a=4.5215 b=4.5215 c=9.2051 alpha=104.22 beta=104.22 gamma=90.00
Atoms (fractional coordinates):
Dy 0.5000 0.0000 0.0000
Bi 0.6390 0.6390 0.2780
H 0.0000 0.0000 0.0000
Dy 0.0000 0.5000 0.0000
Dy 0.8231 0.8231 0.6462
Bi 0.3610 0.3610 0.7220
Dy 0.1769 0.1769 0.3538

## Properties
The total energy is -33.7 eV for the cell shown. The crystal system is tetragonal.

Record 9
First-principles (GGA-PBE) data for crystalline LaTcTe2 at its relaxed geometry, as listed in Alexandria via LeMat-Bulk.

Unit cell a=8.1905 b=5.1421 c=3.7675 alpha=90.01 beta=62.60 gamma=128.89
Each line ends with the local moment (μB).
Atoms (fractional coordinates):
Te 0.5000 0.0000 0.5000  -0.04
Tc 0.5000 0.5000 0.0000  1.85
Te 0.0000 0.0000 0.0000  -0.04
La 0.0000 0.5000 0.5000  -0.02

## Properties
The energy above the most stable polymorph in this dataset comes out at 1.84 eV/f.u. The raw formation energy is -0.334 eV per atom. The crystal system is tetragonal.

Record 10
First-principles (GGA-PBE) data for crystalline YNiSb2 at its relaxed geometry, as listed in Alexandria via LeMat-Bulk.

Unit cell a=5.2551 b=5.2551 c=5.2551 alpha=133.42 beta=110.32 gamma=88.01
Atoms (fractional coordinates):
Y 0.2500 0.7500 0.5000
Ni 0.7500 0.2500 0.5000
Sb 0.9480 0.9480 0.0000
Sb 0.5520 0.5520 0.0000

## Properties
The raw formation energy is -0.352 eV per atom. The crystal system is orthorhombic.

Record 11
First-principles (GGA-PBE) data for crystalline CaY2Rh at its relaxed geometry, as listed in Alexandria via LeMat-Bulk.

Unit cell a=5.1940 b=5.1940 c=5.1940 alpha=60.00 beta=60.00 gamma=60.00
Atoms (fractional coordinates):
Y 0.7500 0.7500 0.7500
Ca 0.0000 0.0000 0.0000
Rh 0.5000 0.5000 0.5000
Y 0.2500 0.2500 0.2500

## Properties
The energy above the most stable polymorph in this dataset comes out at 1.04 eV/f.u. The crystal system is cubic. The value obtained for the formation enthalpy at 0 K is -126 meV per atom.

Record 12
First-principles (GGA-PBE) data for crystalline InTe2Cl at its relaxed geometry, as listed in Alexandria via LeMat-Bulk.

Unit cell a=3.0782 b=6.9284 c=5.8786 alpha=90.00 beta=90.00 gamma=90.00
Atoms (fractional coordinates):
Te 0.0000 0.0000 0.4947
Cl 0.5000 0.5000 0.2500
Te 0.0000 0.0000 0.0053
In 0.5000 0.5000 0.7500

## Properties
The energy above the most stable polymorph in this dataset comes out at 0.99 eV/f.u. The raw formation energy is -0.124 eV per atom. The crystal system is orthorhombic.